Density functional theory data (PBE-GGA) for crystalline Mg2MoPb at its relaxed geometry.

Its calculated total energy is -4.1346 eV/atom. For the magnetization, the calculation gives 0.00 μB per cell. The calculation puts the formation energy at 1.19 eV per formula unit. The space group is No. 123.

POSCAR file:
```
Mg2MoPb
1.0
-2.160 -0.124 2.063
1.365 -2.326 1.290
4.995 6.032 5.593
Pb Mg Mo
1 2 1
Direct
0.500 0.500 0.750
0.000 0.000 0.462
0.000 0.000 0.038
0.500 0.500 0.250
```

---

Density functional theory data (PBE-GGA) for crystalline SrNd2PuAs4 at its relaxed geometry.

Its calculated total energy is -6.7372 eV/atom. For the magnetization, the calculation gives 4.20 μB per cell. The calculation puts the formation energy at -9.75 eV per formula unit. The space group is No. 10.

POSCAR file:
```
SrNd2PuAs4
1.0
4.282 0.000 0.000
0.000 7.403 -0.162
0.000 2.589 6.952
Nd As Sr Pu
2 4 1 1
Direct
0.500 0.000 0.500
0.000 0.000 0.000
0.000 0.248 0.266
0.500 0.745 0.264
0.500 0.255 0.736
0.000 0.752 0.734
0.500 0.500 0.000
0.000 0.500 0.500
```

---

Density functional theory data (PBE-GGA) for crystalline CdTe2F11 at its relaxed geometry.

Its calculated total energy is -4.0187 eV/atom. For the magnetization, the calculation gives 0.00 μB per cell. The space group is No. 72.

POSCAR file:
```
CdTe2F11
1.0
8.133 0.000 4.239
3.767 7.071 2.695
0.784 -0.022 8.416
F Te Cd
22 4 2
Direct
0.681 0.305 0.695
0.713 0.671 0.058
0.855 0.945 0.789
0.181 0.195 0.805
0.442 0.942 0.329
0.500 0.500 0.500
0.787 0.442 0.829
0.089 0.555 0.711
0.058 0.171 0.558
0.319 0.695 0.305
0.942 0.829 0.442
0.411 0.789 0.945
0.145 0.055 0.211
0.000 0.000 0.000
0.558 0.058 0.671
0.213 0.558 0.171
0.819 0.805 0.195
0.287 0.329 0.942
0.911 0.445 0.289
0.355 0.289 0.445
0.645 0.711 0.555
0.589 0.211 0.055
0.338 0.323 0.677
0.662 0.677 0.323
0.162 0.823 0.177
0.838 0.177 0.823
0.750 0.750 0.750
0.250 0.250 0.250
```

---

Density functional theory data (PBE-GGA) for crystalline SmUSeS2 at its relaxed geometry.

Its calculated total energy is -6.7758 eV/atom. For the magnetization, the calculation gives 3.00 μB per cell. The space group is No. 107.

POSCAR file:
```
SmUSeS2
1.0
4.365 0.000 0.000
0.000 4.365 0.000
-2.183 -2.183 6.677
S U Se Sm
2 1 1 1
Direct
0.748 0.248 0.495
0.248 0.748 0.495
0.132 0.132 0.265
0.502 0.502 0.004
0.870 0.870 0.741
```

---

Density functional theory data (PBE-GGA) for crystalline Y2TaB at its relaxed geometry.

Its calculated total energy is -7.4549 eV/atom. For the magnetization, the calculation gives 0.00 μB per cell. The calculation puts the formation energy at 1.64 eV per formula unit. The space group is No. 122.

POSCAR file:
```
Y2TaB
1.0
9.463 0.000 0.000
0.000 9.463 0.000
4.731 4.731 2.187
Y B Ta
4 2 2
Direct
0.277 0.625 0.250
0.875 0.723 0.750
0.375 0.527 0.750
0.473 0.125 0.250
0.250 0.750 0.500
0.500 0.500 0.000
0.000 0.000 0.000
0.750 0.250 0.500
```

---

Density functional theory data (PBE-GGA) for crystalline Pm2CoHgC at its relaxed geometry.

Its calculated total energy is -5.5547 eV/atom. For the magnetization, the calculation gives 0.00 μB per cell. The calculation puts the formation energy at -1.64 eV per formula unit. The space group is No. 123.

POSCAR file:
```
Pm2CoHgC
1.0
3.679 0.000 0.000
0.000 5.270 0.000
0.000 0.000 5.270
Co Pm Hg C
1 2 1 1
Direct
0.500 0.000 0.000
0.000 0.500 0.000
0.000 0.000 0.500
0.500 0.500 0.500
0.000 0.000 0.000
```

---

Density functional theory data (PBE-GGA) for crystalline MgHgIr at its relaxed geometry.

Its calculated total energy is -3.4370 eV/atom. The calculation puts the energy above the most stable polymorph in this dataset at 15.2 kJ per mole of atoms. For the magnetization, the calculation gives 0.00 μB per cell. The calculation puts the formation energy at 0.45 eV per formula unit. The space group is No. 42.

POSCAR file:
```
MgHgIr
1.0
7.307 -0.013 0.009
6.471 2.809 0.021
0.836 -1.051 2.618
Mg Ir Hg
1 1 1
Direct
0.677 0.677 0.323
0.325 0.325 0.675
0.998 0.998 0.002
```

---

Density functional theory data (PBE-GGA) for crystalline La2SmFe9 at its relaxed geometry.

Its calculated total energy is -7.5195 eV/atom. For the magnetization, the calculation gives 18.98 μB per cell. The calculation puts the formation energy at 0.50 eV per formula unit. The space group is No. 166.

POSCAR file:
```
La2SmFe9
1.0
4.968 0.000 1.479
2.264 4.422 1.479
0.073 0.045 8.839
Fe La Sm
9 2 1
Direct
0.577 0.083 0.762
0.083 0.577 0.762
0.423 0.423 0.238
0.500 0.500 0.500
0.423 0.917 0.238
0.917 0.423 0.238
0.577 0.577 0.762
0.667 0.667 0.999
0.333 0.333 0.001
0.141 0.141 0.576
0.859 0.859 0.424
0.000 0.000 0.000
```